A geometry-optimized NiSbOF2 structure, computed with PBE with a Hubbard U.

* total DFT energy (no corrections): -20.219 eV/cell
* crystal system: tetragonal
* excess energy over the best structure of this formula in the dataset: 20.6 kJ/mol of atoms
* N(E_F): 0.15 states/eV per atom

Geometry as CIF:
```
data_NiSbOF2
_chemical_formula_sum 'Ni1 Sb1 O1 F2'
_symmetry_space_group_name_H-M 'P 1'
_symmetry_Int_Tables_number 1
_symmetry_space_group_name_Hall 'P 1'
_cell_length_a 4.4353
_cell_length_b 4.4353
_cell_length_c 4.2614
_cell_angle_alpha 90.00
_cell_angle_beta 90.00
_cell_angle_gamma 90.00
loop_
_atom_site_label
_atom_site_type_symbol
_atom_site_fract_x
_atom_site_fract_y
_atom_site_fract_z
_atom_site_occupancy
Ni1 Ni 0.0000 0.0000 0.0000 1
Sb1 Sb 0.5000 0.5000 0.5000 1
O1 O 0.5000 0.5000 0.0000 1
F1 F 0.0000 0.5000 0.5000 1
F2 F 0.5000 0.0000 0.5000 1
```

***

A geometry-optimized Ca2FeO3 structure, computed with PBE with a Hubbard U.

* total DFT energy (no corrections): -38.951 eV/cell
* crystal system: monoclinic
* N(E_F): 0.00 states/eV per atom

Geometry as CIF:
```
data_Ca2FeO3
_chemical_formula_sum 'Ca2 Fe1 O3'
_symmetry_space_group_name_H-M 'P 1'
_symmetry_Int_Tables_number 1
_symmetry_space_group_name_Hall 'P 1'
_cell_length_a 5.6697
_cell_length_b 5.6697
_cell_length_c 3.3039
_cell_angle_alpha 104.87
_cell_angle_beta 104.87
_cell_angle_gamma 49.64
loop_
_atom_site_label
_atom_site_type_symbol
_atom_site_fract_x
_atom_site_fract_y
_atom_site_fract_z
_atom_site_occupancy
Ca1 Ca 0.1639 0.1639 0.1532 1
Ca2 Ca 0.8361 0.8361 0.8468 1
Fe1 Fe 0.5000 0.5000 0.5000 1
O1 O 0.0000 0.0000 0.5000 1
O2 O 0.3448 0.3448 0.8103 1
O3 O 0.6552 0.6552 0.1897 1
```

***

Question: Which of these has the lowest N(E_F)?
Answer: Ca2FeO3